First-principles (PBE with a Hubbard U) data for a relaxed Co2B2F crystal, as listed in the Alexandria database.

Cell lengths 5.799, 5.799, 2.653 Å; angles 90.00, 90.00, 90.00 degrees
Fractional positions:
Co (0.174, 0.326, 0.000)
Co (0.326, 0.826, 0.000)
Co (0.674, 0.174, 0.000)
Co (0.826, 0.674, 0.000)
B (0.105, 0.605, 0.500)
B (0.395, 0.105, 0.500)
B (0.605, 0.895, 0.500)
B (0.895, 0.395, 0.500)
F (0.000, 0.000, 0.000)
F (0.500, 0.500, 0.000)

The value obtained for the calculated density is 5.90 g cm⁻³. The spin magnetization comes out at 6.15 μB per cell. Its calculated total energy is -5.0260 eV/atom. The value obtained for the density of states at the Fermi level is 3.015 states/eV/cell.